[1]
Entry from Alexandria via LeMat-Bulk: TaPbAu2 after structural relaxation (PBE).

Cell and atoms, written as POSCAR:
```
TaPbAu2
1.0
-2.709 4.436 -1.258
-4.951 -0.061 2.020
4.833 -0.866 2.118
Ta Au Pb
1 2 1
direct
0.750 0.250 0.500
0.000 0.000 0.000
0.500 0.500 0.000
0.250 0.750 0.500
```

Values from the calculation:
Energy of formation, eV/atom: 0.3521

---

[2]
Entry from Alexandria via LeMat-Bulk: TeRuRh4 after structural relaxation (PBE).

Cell and atoms, written as POSCAR:
```
TeRuRh4
1.0
0.000 3.671 3.671
3.671 0.000 3.671
3.671 3.671 0.000
Rh Ru Te
4 1 1
direct
0.376 0.376 0.873
0.376 0.873 0.376
0.376 0.376 0.376
0.873 0.376 0.376
0.750 0.750 0.750
0.000 0.000 0.000
```

Values from the calculation:
Raw formation energy, eV/atom: 0.50

---

| no. | final energy (eV per atom) |
| --- | --- |
| 1 | -5.177 |
| 2 | -6.472 |